CeTm2Ru2 PBE relaxed; relative energy among the computed polymorphs = 108 meV per atom; magnetization = 0.00 μB per formula unit; electronic total energy = -7.039 eV per atom
1.0
5.231 0.000 0.000
2.615 5.703 0.166
2.615 1.897 7.995
Ru Ce Tm
4 2 4
Direct
0.143 0.320 0.395 Ru
0.601 0.613 0.186 Ru
0.399 0.387 0.814 Ru
0.857 0.680 0.605 Ru
0.686 0.734 0.895 Ce
0.314 0.266 0.105 Ce
0.650 0.208 0.492 Tm
0.350 0.792 0.508 Tm
0.980 0.809 0.231 Tm
0.020 0.191 0.769 Tm

=====

Nd3Np4N12 PBE relaxed; magnetization = 1.06 μB per formula unit; formation energy (no corrections) = -92.4 kJ per mole of atoms; electronic total energy = -9.693 eV per atom
1.0
-6.117 -3.540 -1.381
4.293 -0.283 -5.775
3.324 -3.050 5.614
N Np Nd
12 4 3
Direct
0.295 0.523 0.228 N
0.228 0.705 0.933 N
0.772 0.295 0.067 N
0.523 0.228 0.295 N
0.228 0.295 0.523 N
0.477 0.772 0.705 N
0.772 0.705 0.477 N
0.933 0.228 0.705 N
0.295 0.067 0.772 N
0.705 0.477 0.772 N
0.067 0.772 0.295 N
0.705 0.933 0.228 N
0.000 0.500 0.000 Np
0.000 0.000 0.500 Np
0.500 0.000 0.000 Np
0.500 0.500 0.500 Np
0.500 0.000 0.500 Nd
0.500 0.500 0.000 Nd
0.000 0.500 0.500 Nd

=====

What did the second record say?
Nd3Np4N12 PBE relaxed; magnetization = 1.06 μB per formula unit; formation energy (no corrections) = -92.4 kJ per mole of atoms; electronic total energy = -9.693 eV per atom
1.0
-6.117 -3.540 -1.381
4.293 -0.283 -5.775
3.324 -3.050 5.614
N Np Nd
12 4 3
Direct
0.295 0.523 0.228 N
0.228 0.705 0.933 N
0.772 0.295 0.067 N
0.523 0.228 0.295 N
0.228 0.295 0.523 N
0.477 0.772 0.705 N
0.772 0.705 0.477 N
0.933 0.228 0.705 N
0.295 0.067 0.772 N
0.705 0.477 0.772 N
0.067 0.772 0.295 N
0.705 0.933 0.228 N
0.000 0.500 0.000 Np
0.000 0.000 0.500 Np
0.500 0.000 0.000 Np
0.500 0.500 0.500 Np
0.500 0.000 0.500 Nd
0.500 0.500 0.000 Nd
0.000 0.500 0.500 Nd

=====

- Which formula does entry 1 have?
  CeTm2Ru2

=====

- The highest magnetization belongs to which entry?
  Nd3Np4N12